[1]
Computed, not measured: an optimized crystal structure of Co2TcPt at the GGA-PBEsol level of DFT.

It has space group C2/m (No. 12), with a = 8.414 Å, b = 2.611 Å, c = 4.617 Å, α = 90.00°, β = 99.74° and γ = 90.00°. The distinct sites, in fractional coordinates, are Co at (0.249, 0.000, 0.228), Tc at (0.000, 0.500, 0.000) and Pt at (0.000, 0.000, 0.500).

Its energy of formation is 0.02 eV per atom. Its crystal system is monoclinic. Its raw total energy is -8.406 eV/atom. The calculation puts the theoretical density at 13.7 Mg/m³. For the spin magnetization, the calculation gives 2.21 μB/f.u. The calculation puts the energy above the lowest structure with this stoichiometry at 43 meV per atom.

[2]
Computed, not measured: an optimized crystal structure of BeSnAs2Se at the GGA-PBEsol level of DFT.

It has space group P4/mmm (No. 123), with a = 5.182 Å, b = 5.182 Å, c = 5.136 Å, α = 90.00°, β = 90.00° and γ = 90.00°. The distinct sites, in fractional coordinates, are Be at (0.000, 0.000, 0.000), Sn at (0.500, 0.500, 0.500), As at (0.000, 0.500, 0.500) and Se at (0.500, 0.500, 0.000).

Its crystal system is tetragonal. Its raw total energy is -3.183 eV/atom. Its uncorrected formation energy is 1.2813 eV/atom. The calculation puts the theoretical density at 4.3 Mg/m³. For the spin magnetization, the calculation gives 0.00 μB/f.u.